Record 1
Entry from Alexandria via LeMat-Bulk: ZrNbP2 after structural relaxation (PBE).

Summary:
ΔH_f (0 K) = -34 kJ per mole of atoms
electronic total energy = -123.3 eV per cell
space-group type = I-42d

Cell lengths 5.6817, 5.6817, 11.6367 Å; angles 90.00, 90.00, 90.00 degrees
Sites, in units of the cell vectors:
Zr: 0.0000 0.0000 0.0000
Zr: 0.0000 0.5000 0.2500
Zr: 0.5000 0.0000 0.7500
Zr: 0.5000 0.5000 0.5000
Nb: 0.0000 0.0000 0.5000
Nb: 0.0000 0.5000 0.7500
Nb: 0.5000 0.0000 0.2500
Nb: 0.5000 0.5000 0.0000
P: 0.2315 0.2500 0.6250
P: 0.2500 0.7315 0.8750
P: 0.2500 0.7685 0.3750
P: 0.2685 0.2500 0.1250
P: 0.7315 0.7500 0.1250
P: 0.7500 0.2315 0.3750
P: 0.7500 0.2685 0.8750
P: 0.7685 0.7500 0.6250



Record 2
Entry from Alexandria via LeMat-Bulk: ZrNbP after structural relaxation (PBE).

Summary:
ΔH_f (0 K) = -91 kJ per mole of atoms
electronic total energy = -161.1 eV per cell
space-group type = Pmma

Cell lengths 12.3382, 3.5852, 7.1189 Å; angles 90.00, 90.00, 90.00 degrees
Sites, in units of the cell vectors:
Zr: 0.0519 0.0000 0.2109
Zr: 0.2500 0.0000 0.8205
Zr: 0.4481 0.0000 0.2109
Zr: 0.5519 0.0000 0.7891
Zr: 0.7500 0.0000 0.1795
Zr: 0.9481 0.0000 0.7891
Nb: 0.1146 0.5000 0.5522
Nb: 0.2500 0.5000 0.1795
Nb: 0.3854 0.5000 0.5522
Nb: 0.6146 0.5000 0.4478
Nb: 0.7500 0.5000 0.8205
Nb: 0.8854 0.5000 0.4478
P: 0.1019 0.5000 0.9209
P: 0.2500 0.0000 0.4324
P: 0.3981 0.5000 0.9209
P: 0.6019 0.5000 0.0791
P: 0.7500 0.0000 0.5676
P: 0.8981 0.5000 0.0791